Entry 1:
4
Lattice="4.511 0.000 0.000 2.255 3.906 0.000 2.255 1.302 3.683" Properties=species:S:1:pos:R:3 comment="PBE-GGA GaHgPdRh, relaxed" volume_a3_per_cell=64.9 sg="No. 216" total_energy_ev_per_atom=-4.200 formation_enthalpy_0k_ev_per_atom=-0.231 magmom_total_mub_per_fu=0.000 pbc="T T T"
Ga 2.255 1.302 0.921
Pd 0.000 0.000 0.000
Rh 4.511 2.604 1.842
Hg 6.766 3.906 2.762

Entry 2:
5
Lattice="-2.371 4.432 1.146 -3.940 -2.332 0.868 1.399 -0.527 4.934" Properties=species:S:1:pos:R:3 comment="PBE-GGA GaHg2PdRu, relaxed" volume_a3_per_cell=123.9 sg="No. 123" total_energy_ev_per_atom=-2.760 formation_enthalpy_0k_ev_per_atom=0.860 magmom_total_mub_per_fu=2.575 pbc="T T T"
Hg -1.185 2.216 0.573
Hg 0.700 -0.264 2.467
Ru -2.456 0.786 3.474
Ga -1.970 -1.166 0.434
Pd 0.000 0.000 0.000

Entry 3:
8
Lattice="-1.682 1.956 -4.058 2.285 -0.760 -4.162 -4.191 -5.969 -3.989" Properties=species:S:1:pos:R:3 comment="PBE-GGA Sc4Ga2HgPd, relaxed" volume_a3_per_cell=156.9 sg="No. 166" total_energy_ev_per_atom=-5.234 formation_enthalpy_0k_ev_per_atom=-0.625 magmom_total_mub_per_fu=0.000 pbc="T T T"
Sc -1.085 -1.251 -8.700
Sc -0.204 -0.081 -5.652
Sc -3.385 -4.692 -6.557
Sc -2.503 -3.522 -3.509
Ga -0.890 -1.183 -3.050
Ga -2.699 -3.590 -9.159
Hg 0.000 0.000 0.000
Pd -1.794 -2.386 -6.104

Entry 4:
5
Lattice="5.151 0.000 0.000 0.000 4.686 0.000 0.000 0.000 5.151" Properties=species:S:1:pos:R:3 comment="PBE-GGA ScGaHg2Pd, relaxed" volume_a3_per_cell=124.3 sg="No. 123" total_energy_ev_per_atom=-2.921 formation_enthalpy_0k_ev_per_atom=0.110 magmom_total_mub_per_fu=0.000 pbc="T T T"
Pd 0.000 0.000 0.000
Hg 2.575 0.000 0.000
Hg 0.000 0.000 2.575
Sc 2.575 2.343 2.575
Ga 0.000 2.343 0.000

Entry 5:
20
Lattice="3.806 0.000 0.000 0.000 9.991 0.000 0.000 0.000 9.991" Properties=species:S:1:pos:R:3 comment="PBE-GGA Sm2Ga2HgPd5, relaxed" volume_a3_per_cell=379.9 sg="No. 127" total_energy_ev_per_atom=-4.829 formation_enthalpy_0k_ev_per_atom=-0.653 magmom_total_mub_per_fu=0.000 pbc="T T T"
Sm 0.000 6.775 1.779
Sm 0.000 1.779 3.216
Sm 0.000 8.211 6.775
Sm 0.000 3.216 8.211
Pd 1.903 7.867 9.342
Pd 1.903 0.649 7.867
Pd 1.903 2.872 5.645
Pd 1.903 7.119 4.346
Pd 1.903 0.000 4.995
Pd 1.903 9.342 2.123
Pd 1.903 2.123 0.649
Pd 1.903 5.645 7.119
Pd 1.903 4.995 0.000
Pd 1.903 4.346 2.872
Ga 0.000 1.196 6.192
Ga 0.000 6.192 8.794
Ga 0.000 3.799 1.196
Ga 0.000 8.794 3.799
Hg 0.000 0.000 0.000
Hg 0.000 4.995 4.995

Entry 6:
10
Lattice="-3.668 1.209 1.367 0.157 -2.848 2.941 5.230 7.727 7.203" Properties=species:S:1:pos:R:3 comment="PBE-GGA Sm2Ga3HgPd4, relaxed" volume_a3_per_cell=197.9 sg="No. 115" total_energy_ev_per_atom=-4.660 formation_enthalpy_0k_ev_per_atom=-0.701 magmom_total_mub_per_fu=0.000 pbc="T T T"
Pd 1.627 5.718 5.450
Pd -1.756 -0.820 2.154
Pd 1.848 1.189 3.907
Pd 0.000 0.000 0.000
Ga 2.615 3.863 3.601
Ga 2.729 7.346 6.967
Ga 0.746 -0.438 2.389
Hg 0.860 3.044 5.755
Sm -0.530 2.531 2.479
Sm 4.005 4.376 6.877

Entry 7:
4
Lattice="-2.608 -1.372 3.935 0.063 -4.689 1.478 2.301 -1.234 4.166" Properties=species:S:1:pos:R:3 comment="PBE-GGA SmGaHgPd, relaxed" volume_a3_per_cell=84.0 sg="No. 216" total_energy_ev_per_atom=-3.814 formation_enthalpy_0k_ev_per_atom=-0.504 magmom_total_mub_per_fu=0.000 pbc="T T T"
Pd -0.122 -3.647 4.790
Sm -0.183 -5.471 7.185
Hg 0.000 0.000 0.000
Ga -0.061 -1.824 2.395

Entry 8:
5
Lattice="4.831 0.000 0.000 0.000 4.831 0.000 0.000 0.000 5.368" Properties=species:S:1:pos:R:3 comment="PBE-GGA Ga2SnHgPd, relaxed" volume_a3_per_cell=125.3 sg="No. 123" total_energy_ev_per_atom=-3.182 formation_enthalpy_0k_ev_per_atom=-0.072 magmom_total_mub_per_fu=0.000 pbc="T T T"
Sn 0.000 0.000 2.684
Ga 2.416 0.000 0.000
Ga 0.000 2.416 0.000
Hg 2.416 2.416 2.684
Pd 0.000 0.000 0.000